A relaxed Nd2MgC crystal. Source: Alexandria via LeMat-Bulk, functional PBE-GGA.

Cell lengths 3.6116, 3.6116, 29.6224 Å; angles 90.00, 90.00, 120.00 degrees
Last column: nearest neighbours and their distance in Å.
Space group R-3m (No. 166, hexagonal axes)
Unique sites:
Nd 0.0000 0.0000 0.1187 (multiplicity 6)  3 C 2.52
Mg 0.0000 0.0000 0.0000 (multiplicity 3)  2 Nd 3.52, 6 Mg 3.61
C 0.0000 0.0000 0.5000 (multiplicity 3)  6 Nd 2.52

Its density of states at the Fermi level is 7.8 states/eV per cell. For the formation energy, the calculation gives 0.2 eV/f.u.